1.
Entry from Alexandria: CeInPbAu after structural relaxation (GGA-PBE).

Cell lengths 7.4346, 7.4346, 7.4346 Å; angles 90.00, 90.00, 90.00 degrees
Positions (direct):
Ce (0.0000, 0.0000, 0.0000)
Ce (0.0000, 0.5000, 0.5000)
Ce (0.5000, 0.0000, 0.5000)
Ce (0.5000, 0.5000, 0.0000)
In (0.0000, 0.0000, 0.5000)
In (0.0000, 0.5000, 0.0000)
In (0.5000, 0.0000, 0.0000)
In (0.5000, 0.5000, 0.5000)
Pb (0.2500, 0.2500, 0.7500)
Pb (0.2500, 0.7500, 0.2500)
Pb (0.7500, 0.2500, 0.2500)
Pb (0.7500, 0.7500, 0.7500)
Au (0.2500, 0.2500, 0.2500)
Au (0.2500, 0.7500, 0.7500)
Au (0.7500, 0.2500, 0.7500)
Au (0.7500, 0.7500, 0.2500)

Results
Space-group type = F-43m, No. 216

2.
Entry from Alexandria: ErFeIr after structural relaxation (GGA-PBE).

Cell lengths 6.3446, 5.2180, 5.0037 Å; angles 76.70, 53.17, 50.13 degrees
Positions (direct):
Er (0.1580, 0.8420, 0.1580)
Er (0.8420, 0.1580, 0.8420)
Fe (0.2500, 0.2500, 0.2500)
Fe (0.7500, 0.7500, 0.7500)
Ir (0.3488, 0.3488, 0.6512)
Ir (0.6512, 0.6512, 0.3488)

Results
Space-group type = Fmmm, No. 69

3.
Entry from Alexandria: DyYZnCu after structural relaxation (GGA-PBE).

Cell lengths 7.0503, 7.0503, 7.0503 Å; angles 90.00, 90.00, 90.00 degrees
Positions (direct):
Dy (0.0000, 0.0000, 0.0000)
Dy (0.0000, 0.5000, 0.5000)
Dy (0.5000, 0.0000, 0.5000)
Dy (0.5000, 0.5000, 0.0000)
Y (0.0000, 0.0000, 0.5000)
Y (0.0000, 0.5000, 0.0000)
Y (0.5000, 0.0000, 0.0000)
Y (0.5000, 0.5000, 0.5000)
Zn (0.2500, 0.2500, 0.2500)
Zn (0.2500, 0.7500, 0.7500)
Zn (0.7500, 0.2500, 0.7500)
Zn (0.7500, 0.7500, 0.2500)
Cu (0.2500, 0.2500, 0.7500)
Cu (0.2500, 0.7500, 0.2500)
Cu (0.7500, 0.2500, 0.2500)
Cu (0.7500, 0.7500, 0.7500)

Results
Space-group type = F-43m, No. 216
Offset from the most stable computed form = 0.81 kJ per mole of atoms

In the order shown, the computed energy of formation from the pure elements values come out to -0.35, -0.03, -0.29 eV per atom.
In the order shown, the computed DOS at the Fermi energy values come out to 1.85, 1.50, 0.62 states/eV/atom.
In the order shown, the computed E_tot values come out to -4.260, -7.321, -4.398 eV/atom.